Entry 1:
Below is a relaxed HoNiPt6 crystal, with properties calculated at the PBE-GGA level.

Total energy, Ha/atom: -0.23292
E_form, eV/atom: -0.513

abc: 4.0049 4.0049 8.0278
angles: 90.00 90.00 90.00
With the nearest neighbours (Å) after each atom.
Space group P4/mmm (No. 123)
Inequivalent atoms, fractional coordinates:
Ho: 0.0000 0.0000 0.0000 [1 per cell]  12 Pt 2.83-2.93
Ni: 0.0000 0.0000 0.5000 [1 per cell]  12 Pt 2.75-2.83
Pt: 0.0000 0.5000 0.2658 [4 per cell]  2 Ni 2.75, 8 Pt 2.75-2.93, 2 Ho 2.93
Pt: 0.5000 0.5000 0.0000 [1 per cell]  4 Ho 2.83, 8 Pt 2.93
Pt: 0.5000 0.5000 0.5000 [1 per cell]  8 Pt 2.75, 4 Ni 2.83



Entry 2:
Below is a relaxed Ho2Ni5Pt5 crystal, with properties calculated at the PBE-GGA level.

Total energy, Ha/atom: -0.23048
E_form, eV/atom: -0.583

abc: 4.2654 5.0269 8.9779
angles: 90.00 90.00 90.00
With the nearest neighbours (Å) after each atom.
Space group Pmmm (No. 47)
Inequivalent atoms, fractional coordinates:
Ho: 0.0000 0.0000 0.0000 [1 per cell]  10 Pt 2.99-3.30
Ho: 0.0000 0.5000 0.5000 [1 per cell]  6 Pt 2.88-2.92
Ni: 0.5000 0.0000 0.5000 [1 per cell]  4 Ni 2.51, 4 Pt 2.60
Ni: 0.5000 0.2488 0.2577 [4 per cell]  3 Ni 2.50-2.53, 5 Pt 2.57-2.64
Pt: 0.0000 0.0000 0.3353 [2 per cell]  6 Ni 2.57-2.60
Pt: 0.0000 0.5000 0.1794 [2 per cell]  4 Ni 2.58, 4 Pt 2.67-2.88, 1 Ho 2.88
Pt: 0.5000 0.5000 0.0000 [1 per cell]  4 Ni 2.64, 4 Pt 2.67



Entry 3:
Below is a relaxed Ho3NiPt2 crystal, with properties calculated at the PBE-GGA level.

Total energy, Ha/atom: -0.23029
E_form, eV/atom: -1.000

abc: 11.3422 4.0810 11.3141
angles: 90.00 90.00 90.00
With the nearest neighbours (Å) after each atom.
Space group Pnma (No. 62)
Inequivalent atoms, fractional coordinates:
Ho: 0.0498 0.2500 0.1246 [4 per cell]  5 Pt 2.93-2.98, 1 Ni 2.95
Ho: 0.1215 0.7500 0.5584 [4 per cell]  3 Ni 2.89-2.92, 5 Pt 2.92-3.11
Ho: 0.2175 0.2500 0.8062 [4 per cell]  2 Ni 2.82, 4 Pt 2.86-3.13
Ni: 0.1244 0.2500 0.3739 [4 per cell]  3 Pt 2.55-2.58, 2 Ho 2.82
Pt: 0.0066 0.7500 0.3091 [4 per cell]  2 Ni 2.55
Pt: 0.1835 0.7500 0.9966 [4 per cell]  1 Ni 2.58



Entry 4:
Below is a relaxed Ho2NiPt9 crystal, with properties calculated at the PBE-GGA level.

Total energy, Ha/atom: -0.23750
E_form, eV/atom: -0.687

abc: 4.0547 4.0547 12.0731
angles: 90.00 90.00 90.00
With the nearest neighbours (Å) after each atom.
Space group P4/mmm (No. 123)
Inequivalent atoms, fractional coordinates:
Ho: 0.0000 0.0000 0.1728 [2 per cell]  12 Pt 2.87-2.92
Ni: 0.0000 0.0000 0.5000 [1 per cell]  12 Pt 2.74-2.87
Pt: 0.0000 0.5000 0.0000 [2 per cell]  8 Pt 2.87-2.91, 4 Ho 2.91
Pt: 0.0000 0.5000 0.3472 [4 per cell]  2 Ni 2.74, 8 Pt 2.74-2.92, 2 Ho 2.92
Pt: 0.5000 0.5000 0.1733 [2 per cell]  4 Ho 2.87, 8 Pt 2.91-2.92
Pt: 0.5000 0.5000 0.5000 [1 per cell]  8 Pt 2.74, 4 Ni 2.87



Entry 5:
Below is a relaxed Ho4NiPt3 crystal, with properties calculated at the PBE-GGA level.

Total energy, Ha/atom: -0.23404
E_form, eV/atom: -1.092

abc: 3.7337 4.4272 10.4148
angles: 90.00 90.00 90.00
With the nearest neighbours (Å) after each atom.
Space group Pmm2 (No. 25)
Inequivalent atoms, fractional coordinates:
Ho: 0.0000 0.0000 0.0000 [1 per cell]  5 Pt 2.87-2.96, 2 Ni 2.91
Ho: 0.0000 0.5000 0.2719 [1 per cell]  3 Pt 2.84-2.91, 4 Ni 2.96
Ho: 0.5000 0.0000 0.4925 [1 per cell]  1 Ni 2.90, 6 Pt 2.95-3.05
Ho: 0.5000 0.5000 0.7751 [1 per cell]  7 Pt 2.94-3.04
Ni: 0.5000 0.0000 0.2141 [1 per cell]  2 Pt 2.75, 7 Ho 2.90-2.96
Pt: 0.0000 0.0000 0.7244 [1 per cell]  7 Ho 2.87-3.05, 2 Pt 2.90
Pt: 0.0000 0.5000 0.5450 [1 per cell]  7 Ho 2.84-3.04, 2 Pt 2.90
Pt: 0.5000 0.5000 0.0576 [1 per cell]  2 Ni 2.75, 7 Ho 2.91-2.96



Entry 6:
Below is a relaxed Ho4Ni2Pt crystal, with properties calculated at the PBE-GGA level.

Total energy, Ha/atom: -0.21051
E_form, eV/atom: -0.598

abc: 8.8045 11.9609 6.9523
angles: 90.00 120.25 90.00
With the nearest neighbours (Å) after each atom.
Space group Cc (No. 9)
Inequivalent atoms, fractional coordinates:
Ho: 0.0000 0.0041 0.0000 [4 per cell]  4 Ni 2.75-2.88, 2 Pt 2.91-2.95
Ho: 0.0584 0.4353 0.3308 [4 per cell]  2 Pt 2.75-2.96, 3 Ni 2.75-2.95
Ho: 0.2299 0.2379 0.7521 [4 per cell]  3 Ni 2.73-2.87, 1 Pt 2.87
Ho: 0.3642 0.1916 0.3323 [4 per cell]  3 Ni 2.74-3.06, 2 Pt 2.75-3.06
Ni: 0.0356 0.1901 0.2838 [4 per cell]  6 Ho 2.73-2.95
Ni: 0.2868 0.0224 0.9429 [4 per cell]  6 Ho 2.75-2.91
Pt: 0.2474 0.3857 0.0886 [4 per cell]  7 Ho 2.75-3.06



Entry 7:
Below is a relaxed HoNi4Pt crystal, with properties calculated at the PBE-GGA level.

Total energy, Ha/atom: -0.22195
E_form, eV/atom: -0.415

abc: 6.9092 6.9092 6.9092
angles: 90.00 90.00 90.00
With the nearest neighbours (Å) after each atom.
Space group F-43m (No. 216)
Inequivalent atoms, fractional coordinates:
Ho: 0.0000 0.0000 0.0000 [4 per cell]  12 Ni 2.87, 4 Pt 2.99
Ni: 0.1239 0.1239 0.6239 [16 per cell]  6 Ni 2.42-2.46
Pt: 0.2500 0.2500 0.2500 [4 per cell]  12 Ni 2.86, 4 Ho 2.99



Entry 8:
Below is a relaxed HoNi8Pt3 crystal, with properties calculated at the PBE-GGA level.

Total energy, Ha/atom: -0.21930
E_form, eV/atom: -0.221

abc: 4.8177 4.8177 7.8003
angles: 90.00 90.00 120.00
With the nearest neighbours (Å) after each atom.
Space group P3m1 (No. 156)
Inequivalent atoms, fractional coordinates:
Ho: 0.0000 0.0000 0.0000 [1 per cell]  12 Ni 2.83-2.87, 4 Pt 2.96
Ni: 0.1652 0.3304 0.6777 [3 per cell]  6 Ni 2.38-2.43
Ni: 0.3333 0.6667 0.4309 [1 per cell]  6 Ni 2.34-2.38
Ni: 0.3333 0.6667 0.9306 [1 per cell]  6 Ni 2.42-2.48
Ni: 0.5028 0.0057 0.1921 [3 per cell]  6 Ni 2.34-2.48
Pt: 0.0000 0.0000 0.3789 [1 per cell]  12 Ni 2.71-2.82, 3 Pt 2.94, 1 Ho 2.96
Pt: 0.6667 0.3333 0.4994 [1 per cell]  12 Ni 2.76-2.83, 4 Pt 2.88-2.94
Pt: 0.6667 0.3333 0.8686 [1 per cell]  12 Ni 2.82-2.87, 1 Pt 2.88, 3 Ho 2.96



Entry 9:
Below is a relaxed Ho8Ni2Pt crystal, with properties calculated at the PBE-GGA level.

Total energy, Ha/atom: -0.19234
E_form, eV/atom: -0.304

abc: 8.2146 12.5131 5.8557
angles: 90.00 108.09 90.00
With the nearest neighbours (Å) after each atom.
Space group Cm (No. 8)
Inequivalent atoms, fractional coordinates:
Ho: 0.0000 0.0000 0.0000 [2 per cell]  2 Ni 3.04, 1 Pt 3.04
Ho: 0.0754 0.3692 0.7721 [4 per cell]  2 Ni 2.72-2.74
Ho: 0.1561 0.1302 0.5777 [4 per cell]  2 Ni 2.75, 1 Pt 3.01
Ho: 0.2306 0.5000 0.3635 [2 per cell]  1 Pt 2.95, 2 Ni 3.05
Ho: 0.3652 0.2184 0.1813 [4 per cell]  1 Pt 2.88, 2 Ni 3.13
Ni: 0.3663 0.3069 0.6823 [4 per cell]  5 Ho 2.72-3.04
Pt: 0.3658 0.0000 0.3382 [2 per cell]  8 Ho 2.88-3.06



Entry 10:
Below is a relaxed HoNi2Pt crystal, with properties calculated at the PBE-GGA level.

Total energy, Ha/atom: -0.22122
E_form, eV/atom: -0.475

abc: 6.2661 6.2661 6.2661
angles: 90.00 90.00 90.00
With the nearest neighbours (Å) after each atom.
Space group Fm-3m (No. 225)
Inequivalent atoms, fractional coordinates:
Ho: 0.0000 0.0000 0.0000 [4 per cell]  8 Ni 2.71
Ni: 0.2500 0.2500 0.2500 [8 per cell]  4 Ho 2.71, 4 Pt 2.71
Pt: 0.0000 0.0000 0.5000 [4 per cell]  8 Ni 2.71



Entry 11:
Below is a relaxed Ho12Ni6Pt crystal, with properties calculated at the PBE-GGA level.

Total energy, Ha/atom: -0.19581
E_form, eV/atom: -0.293

abc: 12.1972 12.1972 11.3603
angles: 90.00 90.00 120.00
With the nearest neighbours (Å) after each atom.
Space group R-3 (No. 148, hexagonal axes)
Inequivalent atoms, fractional coordinates:
Ho: 0.0228 0.8163 0.3876 [18 per cell]  4 Ni 2.67-2.98
Ho: 0.0295 0.8225 0.8786 [18 per cell]  2 Ni 2.70-2.72, 1 Pt 2.74
Ni: 0.0374 0.7781 0.6452 [18 per cell]  6 Ho 2.67-2.98
Pt: 0.0000 0.0000 0.0000 [3 per cell]  6 Ho 2.74



Entry 12:
Below is a relaxed HoScNiPt crystal, with properties calculated at the PBE-GGA level.

Total energy, Ha/atom: -0.24027
E_form, eV/atom: -0.855

abc: 4.2965 3.6800 9.8969
angles: 90.00 90.00 90.00
With the nearest neighbours (Å) after each atom.
Space group Amm2 (No. 38)
Inequivalent atoms, fractional coordinates:
Ho: 0.0000 0.0000 0.0000 [2 per cell]  3 Ni 2.71-2.89, 4 Pt 2.91
Sc: 0.5000 0.0000 0.7175 [2 per cell]  3 Pt 2.81-2.82, 4 Ni 2.88
Ni: 0.0000 0.0000 0.2743 [2 per cell]  2 Pt 2.66, 3 Ho 2.71-2.89, 4 Sc 2.88
Pt: 0.5000 0.0000 0.4321 [2 per cell]  2 Ni 2.66, 3 Sc 2.81-2.82, 4 Ho 2.91